(1)
Compound: Sn2Bi3
Source: Alexandria
Functional: GGA-PBE
Structure: optimized geometry

Results
- E above lowest polymorph (kJ/mol of formula units) = 1

abc: 8.2738 8.2738 16.8132
angles: 90.00 90.00 120.00
Space group R-3c (No. 167, hexagonal axes)
Asymmetric unit:
Sn: 0.0000 0.0000 0.0965 x12
Bi: 0.0000 0.2440 0.2500 x18

(2)
Compound: PuZrU2As4
Source: Alexandria
Functional: GGA-PBE
Structure: optimized geometry

abc: 6.900 4.001 7.115
angles: 90.00 108.89 90.00
Space group P2/m (No. 10)
Asymmetric unit:
Pu: 0.000 0.000 0.000 x1
Zr: 0.000 0.500 0.500 x1
U: 0.500 0.000 0.500 x1
U: 0.500 0.500 0.000 x1
As: 0.243 0.000 0.740 x2
As: 0.247 0.500 0.257 x2

(3)
Compound: Na3Ag3HgCl8
Source: Alexandria
Functional: GGA-PBE
Structure: optimized geometry

Results
- formation energy without anion corrections (eV per atom) = -1.00

abc: 13.591 8.109 8.044
angles: 90.00 124.99 90.00
Space group C2/m (No. 12)
Asymmetric unit:
Na: 0.000 0.000 0.000 x2
Na: 0.250 0.250 0.500 x4
Ag: 0.000 0.500 0.500 x2
Ag: 0.250 0.250 0.000 x4
Hg: 0.000 0.500 0.000 x2
Cl: 0.006 0.260 0.766 x8
Cl: 0.240 0.500 0.238 x4
Cl: 0.246 0.500 0.740 x4

no.,DOS at the Fermi energy (states/eV per cell),final energy (eV/cell)
1,19.21,-113.23
2,20.46,-71.28
3,0.00,-85.21